## Ca2Nd3YSe6 (PBE-GGA)

Data for a relaxed structure of Ca2Nd3YSe6.

Uncorrected formation energy, eV/f.u.: -22.5
Energy, eV for the cell shown: -68.1

Cell lengths 7.2129, 7.2129, 7.3566 Å; angles 99.42, 99.42, 120.07 degrees
Closest atoms and distances in Å follow each position.
Fractional positions:
Nd (0.8293, 0.1707, 0.5000)  6 Se 3.00-3.02
Nd (0.5000, 0.5000, 0.5000)  6 Se 3.01
Nd (0.1707, 0.8293, 0.5000)  6 Se 3.00-3.02
Se (0.9207, 0.5899, 0.7622)  1 Y 2.90, 2 Ca 2.92-2.93, 3 Nd 3.00-3.01
Se (0.5899, 0.9207, 0.7622)  1 Y 2.90, 2 Ca 2.92-2.93, 3 Nd 3.00-3.01
Se (0.0793, 0.4101, 0.2378)  1 Y 2.90, 2 Ca 2.92-2.93, 3 Nd 3.00-3.01
Se (0.4101, 0.0793, 0.2378)  1 Y 2.90, 2 Ca 2.92-2.93, 3 Nd 3.00-3.01
Se (0.7507, 0.7507, 0.2436)  1 Y 2.92, 2 Ca 2.95, 3 Nd 3.01-3.02
Se (0.2493, 0.2493, 0.7564)  1 Y 2.92, 2 Ca 2.95, 3 Nd 3.01-3.02
Ca (0.3335, 0.6665, 0.0000)  6 Se 2.92-2.95
Ca (0.6665, 0.3335, 0.0000)  6 Se 2.92-2.95
Y (0.0000, 0.0000, 0.0000)  6 Se 2.90-2.92

=====

## CoOs2Cl (PBE-GGA)

Data for a relaxed structure of CoOs2Cl.

Excess energy over the best structure of this formula in the dataset, meV per atom: 252
Uncorrected formation energy, eV/f.u.: 2.9
Energy, eV for the cell shown: -28.5

Cell lengths 8.5633, 8.5633, 8.5633 Å; angles 18.64, 18.64, 18.64 degrees
Closest atoms and distances in Å follow each position.
Fractional positions:
Os (0.4956, 0.4956, 0.4956)  3 Co 2.56, 3 Cl 2.73, 6 Os 2.77
Os (0.0044, 0.0044, 0.0044)  3 Co 2.56, 3 Cl 2.73, 6 Os 2.77
Co (0.7500, 0.7500, 0.7500)  6 Os 2.56, 6 Co 2.77
Cl (0.2500, 0.2500, 0.2500)  6 Os 2.73, 6 Cl 2.77

=====

## DyGa2Ni9 (PBE-GGA)

Data for a relaxed structure of DyGa2Ni9.

Excess energy over the best structure of this formula in the dataset, meV per atom: 185
Energy of formation from the pure elements, eV per atom: -0.102
Energy, eV for the cell shown: -63.9

Cell lengths 2.7234, 8.0432, 8.0432 Å; angles 120.00, 90.00, 90.00 degrees
Closest atoms and distances in Å follow each position.
Fractional positions:
Dy (0.0000, 0.0000, 0.0000)  2 Dy 2.72, 12 Ni 2.90
Ni (0.5000, 0.1838, 0.3676)  2 Ga 2.49, 8 Ni 2.56-2.72
Ni (0.5000, 0.1838, 0.8162)  2 Ga 2.49, 8 Ni 2.56-2.72
Ni (0.5000, 0.6324, 0.8162)  2 Ga 2.49, 8 Ni 2.56-2.72
Ni (0.0000, 0.0000, 0.5000)  2 Ga 2.32, 8 Ni 2.60
Ni (0.5000, 0.8162, 0.6324)  2 Ga 2.49, 8 Ni 2.56-2.72
Ni (0.5000, 0.8162, 0.1838)  2 Ga 2.49, 8 Ni 2.56-2.72
Ni (0.5000, 0.3676, 0.1838)  2 Ga 2.49, 8 Ni 2.56-2.72
Ni (0.0000, 0.5000, 0.0000)  2 Ga 2.32, 8 Ni 2.60
Ni (0.0000, 0.5000, 0.5000)  2 Ga 2.32, 8 Ni 2.60
Ga (0.0000, 0.3333, 0.6667)  9 Ni 2.32-2.49
Ga (0.0000, 0.6667, 0.3333)  9 Ni 2.32-2.49

=====

Q: energy of number 3 (DyGa2Ni9)?
A: -63.9 eV for the cell shown